Record 1
VASP calculation (meta-GGA SCAN) on a PBEsol-optimized structure of Rb3PbO.

Cell: 6.9233 6.9233 6.9233 Å, 90.00 90.00 90.00°
Fractional coordinates of all 5 atoms:
1 Rb 0.0000 0.0000 0.5000
2 Rb 0.0000 0.5000 0.0000
3 Rb 0.5000 0.0000 0.0000
4 Pb 0.0000 0.0000 0.0000
5 O 0.5000 0.5000 0.5000

Computed properties:
- spin magnetization (μB/cell) = 1.3
- electronic total energy (eV/atom) = -28.52
- formation energy from raw total energies (eV per atom) = 0.322


Record 2
VASP calculation (meta-GGA SCAN) on a PBEsol-optimized structure of RbPb3O.

Cell: 5.1590 5.1590 5.1590 Å, 90.00 90.00 90.00°
Fractional coordinates of all 5 atoms:
1 Rb 0.0000 0.0000 0.0000
2 Pb 0.0000 0.5000 0.5000
3 Pb 0.5000 0.0000 0.5000
4 Pb 0.5000 0.5000 0.0000
5 O 0.5000 0.5000 0.5000

Computed properties:
- spin magnetization (μB/cell) = 0.0
- electronic total energy (eV/atom) = -51.11
- formation energy from raw total energies (eV per atom) = -0.243


Record 3
VASP calculation (meta-GGA SCAN) on a PBEsol-optimized structure of RbPbO2.

Cell: 6.3907 6.3907 6.3907 Å, 121.39 121.39 87.61°
Fractional coordinates of all 8 atoms:
1 Rb 0.0000 0.0000 0.0000
2 Rb 0.7500 0.2500 0.5000
3 Pb 0.2500 0.7500 0.5000
4 Pb 0.5000 0.5000 0.0000
5 O 0.2136 0.6250 0.0886
6 O 0.3750 0.4636 0.5886
7 O 0.5364 0.1250 0.9114
8 O 0.8750 0.7864 0.4114

Computed properties:
- spin magnetization (μB/cell) = 0.0
- electronic total energy (eV/atom) = -28.42
- formation energy from raw total energies (eV per atom) = -1.174


Record 4
VASP calculation (meta-GGA SCAN) on a PBEsol-optimized structure of Rb2PbO3.

Cell: 6.5809 6.5809 6.0552 Å, 90.00 90.00 67.40°
Fractional coordinates of all 12 atoms:
1 Rb 0.0197 0.3060 0.0000
2 Rb 0.3060 0.0197 0.5000
3 Rb 0.6940 0.9803 0.0000
4 Rb 0.9803 0.6940 0.5000
5 Pb 0.4057 0.5943 0.9682
6 Pb 0.5943 0.4057 0.4682
7 O 0.1338 0.8662 0.8893
8 O 0.3456 0.3946 0.2296
9 O 0.3946 0.3456 0.7296
10 O 0.6054 0.6544 0.2296
11 O 0.6544 0.6054 0.7296
12 O 0.8662 0.1338 0.3893

Computed properties:
- spin magnetization (μB/cell) = 0.2
- electronic total energy (eV/atom) = -23.98
- formation energy from raw total energies (eV per atom) = -1.320


Record 5
VASP calculation (meta-GGA SCAN) on a PBEsol-optimized structure of Rb4PbO4.

Cell: 11.1467 7.0640 11.3665 Å, 90.00 110.19 90.00°
Fractional coordinates of all 36 atoms:
1 Rb 0.0537 0.0831 0.1940
2 Rb 0.0537 0.4169 0.6940
3 Rb 0.1675 0.6003 0.0877
4 Rb 0.1675 0.8997 0.5877
5 Rb 0.3666 0.6696 0.8907
6 Rb 0.3666 0.8304 0.3907
7 Rb 0.4325 0.2052 0.7978
8 Rb 0.4325 0.2948 0.2978
9 Rb 0.5675 0.7052 0.7022
10 Rb 0.5675 0.7948 0.2022
11 Rb 0.6334 0.1696 0.6093
12 Rb 0.6334 0.3304 0.1093
13 Rb 0.8325 0.1003 0.4123
14 Rb 0.8325 0.3997 0.9123
15 Rb 0.9463 0.5831 0.3060
16 Rb 0.9463 0.9169 0.8060
17 Pb 0.2436 0.1314 0.9954
18 Pb 0.2436 0.3686 0.4954
19 Pb 0.7564 0.6314 0.5046
20 Pb 0.7564 0.8686 0.0046
21 O 0.0627 0.2434 0.9679
22 O 0.0627 0.2566 0.4679
23 O 0.2232 0.5038 0.3270
24 O 0.2232 0.9962 0.8270
25 O 0.3105 0.5445 0.6531
26 O 0.3105 0.9555 0.1531
27 O 0.3730 0.1440 0.5300
28 O 0.3730 0.3560 0.0300
29 O 0.6270 0.6440 0.9700
30 O 0.6270 0.8560 0.4700
31 O 0.6895 0.0445 0.8469
32 O 0.6895 0.4555 0.3469
33 O 0.7768 0.0038 0.1730
34 O 0.7768 0.4962 0.6730
35 O 0.9373 0.7434 0.5321
36 O 0.9373 0.7566 0.0321

Computed properties:
- spin magnetization (μB/cell) = 0.7
- electronic total energy (eV/atom) = -21.75
- formation energy from raw total energies (eV per atom) = -1.342


Record 6
VASP calculation (meta-GGA SCAN) on a PBEsol-optimized structure of Rb2PbO2.

Cell: 7.5340 7.7448 10.3676 Å, 84.60 70.09 61.11°
Fractional coordinates of all 20 atoms:
1 Rb 0.0660 0.4497 0.1716
2 Rb 0.0722 0.9355 0.1788
3 Rb 0.2414 0.2644 0.4943
4 Rb 0.3947 0.5695 0.8616
5 Rb 0.6053 0.4305 0.1384
6 Rb 0.7586 0.7356 0.5057
7 Rb 0.9278 0.0645 0.8212
8 Rb 0.9340 0.5503 0.8284
9 Pb 0.3042 0.7081 0.4706
10 Pb 0.4018 0.0600 0.8718
11 Pb 0.5982 0.9400 0.1282
12 Pb 0.6958 0.2919 0.5294
13 O 0.0659 0.2149 0.9802
14 O 0.1950 0.5947 0.3526
15 O 0.3390 0.4865 0.6272
16 O 0.4960 0.8049 0.0066
17 O 0.5040 0.1951 0.9934
18 O 0.6610 0.5135 0.3728
19 O 0.8050 0.4053 0.6474
20 O 0.9341 0.7851 0.0198

Computed properties:
- spin magnetization (μB/cell) = 0.0
- electronic total energy (eV/atom) = -27.29
- formation energy from raw total energies (eV per atom) = -1.349


Record 7
VASP calculation (meta-GGA SCAN) on a PBEsol-optimized structure of RbPb2WO.

Cell: 5.9067 5.9067 4.9427 Å, 90.00 90.00 90.00°
Fractional coordinates of all 5 atoms:
1 Rb 0.0000 0.0000 0.0000
2 Pb 0.0000 0.5000 0.0000
3 Pb 0.5000 0.0000 0.0000
4 W 0.0000 0.0000 0.5000
5 O 0.5000 0.5000 0.5000

Computed properties:
- spin magnetization (μB/cell) = 3.4
- electronic total energy (eV/atom) = -46.74
- formation energy from raw total energies (eV per atom) = 2.900


Record 8
VASP calculation (meta-GGA SCAN) on a PBEsol-optimized structure of RbYPbO2.

Cell: 4.6785 4.6785 5.6196 Å, 90.00 90.00 90.00°
Fractional coordinates of all 5 atoms:
1 Rb 0.0000 0.0000 0.0000
2 Y 0.5000 0.5000 0.5000
3 Pb 0.0000 0.0000 0.5000
4 O 0.0000 0.5000 0.0000
5 O 0.5000 0.0000 0.0000

Computed properties:
- spin magnetization (μB/cell) = 1.7
- electronic total energy (eV/atom) = -27.10
- formation energy from raw total energies (eV per atom) = 0.269


Record 9
VASP calculation (meta-GGA SCAN) on a PBEsol-optimized structure of RePb3O.

Cell: 5.2038 5.2038 5.2038 Å, 90.00 90.00 90.00°
Fractional coordinates of all 5 atoms:
1 Re 0.0000 0.0000 0.0000
2 Pb 0.0000 0.0000 0.5000
3 Pb 0.0000 0.5000 0.0000
4 Pb 0.5000 0.0000 0.0000
5 O 0.5000 0.5000 0.5000

Computed properties:
- spin magnetization (μB/cell) = 1.0
- electronic total energy (eV/atom) = -60.33
- formation energy from raw total energies (eV per atom) = 0.609


Record 10
VASP calculation (meta-GGA SCAN) on a PBEsol-optimized structure of Re3Pb3O10.

Cell: 16.5802 16.5802 16.5802 Å, 154.35 154.35 36.59°
Fractional coordinates of all 64 atoms:
1 Re 0.0000 0.0000 0.0000
2 Re 0.0000 0.0000 0.5000
3 Re 0.0000 0.5000 0.0000
4 Re 0.1676 0.6670 0.5006
5 Re 0.3330 0.3337 0.5006
6 Re 0.3330 0.8324 0.9994
7 Re 0.3337 0.3330 0.0006
8 Re 0.5000 0.0000 0.5000
9 Re 0.6663 0.6670 0.9994
10 Re 0.6670 0.1676 0.0006
11 Re 0.6670 0.6663 0.4994
12 Re 0.8324 0.3330 0.4994
13 Pb 0.0000 0.5000 0.5000
14 Pb 0.1604 0.1638 0.9966
15 Pb 0.1638 0.1604 0.4966
16 Pb 0.1638 0.6671 0.0034
17 Pb 0.3329 0.8362 0.4966
18 Pb 0.5000 0.0000 0.0000
19 Pb 0.5000 0.5000 0.0000
20 Pb 0.5000 0.5000 0.5000
21 Pb 0.6671 0.1638 0.5034
22 Pb 0.8362 0.3329 0.9966
23 Pb 0.8362 0.8396 0.5034
24 Pb 0.8396 0.8362 0.0034
25 O 0.0230 0.7730 0.2500
26 O 0.1028 0.2307 0.2499
27 O 0.1028 0.8529 0.8721
28 O 0.1069 0.3569 0.7500
29 O 0.1471 0.5192 0.2499
30 O 0.1471 0.8972 0.6279
31 O 0.1853 0.4353 0.3707
32 O 0.1853 0.8147 0.7500
33 O 0.2002 0.4502 0.7500
34 O 0.2270 0.9770 0.2500
35 O 0.2307 0.1028 0.7499
36 O 0.2307 0.4808 0.1279
37 O 0.3112 0.5612 0.7500
38 O 0.3569 0.1069 0.2500
39 O 0.4353 0.1853 0.8707
40 O 0.4353 0.5647 0.2500
41 O 0.4388 0.6888 0.7500
42 O 0.4502 0.2002 0.2500
43 O 0.4808 0.2307 0.6279
44 O 0.4808 0.8529 0.2501
45 O 0.5192 0.1471 0.7499
46 O 0.5192 0.7693 0.3721
47 O 0.5498 0.7998 0.7500
48 O 0.5612 0.3112 0.2500
49 O 0.5647 0.4353 0.7500
50 O 0.5647 0.8147 0.1293
51 O 0.6431 0.8931 0.7500
52 O 0.6888 0.4388 0.2500
53 O 0.7693 0.5192 0.8721
54 O 0.7693 0.8972 0.2501
55 O 0.7730 0.0230 0.7500
56 O 0.7998 0.5498 0.2500
57 O 0.8147 0.1853 0.2500
58 O 0.8147 0.5647 0.6293
59 O 0.8529 0.1028 0.3721
60 O 0.8529 0.4808 0.7501
61 O 0.8931 0.6431 0.2500
62 O 0.8972 0.1471 0.1279
63 O 0.8972 0.7693 0.7501
64 O 0.9770 0.2270 0.7500

Computed properties:
- spin magnetization (μB/cell) = 6.9
- electronic total energy (eV/atom) = -32.86
- formation energy from raw total energies (eV per atom) = -1.430


Among the records above, which one has the lowest electronic total energy?
RePb3O